The following is a PBE calculation of a relaxed Co3W5 crystal, from the Alexandria database.

a = 7.2851 Å, b = 7.2851 Å, c = 4.9245 Å
α = 90.00°, β = 90.00°, γ = 120.00°
Positions (direct):
Co1 0.0000 0.4140 0.2500
Co2 0.0000 0.5860 0.7500
Co3 0.4140 0.0000 0.2500
Co4 0.4140 0.4140 0.7500
Co5 0.5860 0.0000 0.7500
Co6 0.5860 0.5860 0.2500
W1 0.0000 0.2295 0.7500
W2 0.0000 0.7705 0.2500
W3 0.2295 0.0000 0.7500
W4 0.2295 0.2295 0.2500
W5 0.3333 0.6667 0.0000
W6 0.3333 0.6667 0.5000
W7 0.6667 0.3333 0.0000
W8 0.6667 0.3333 0.5000
W9 0.7705 0.0000 0.2500
W10 0.7705 0.7705 0.7500

Computed properties:
calculated total energy: -169.16 eV for the cell shown
ρ: 16.1 Mg/m³
calculated volume: 226.3 Å³/cell
energy of formation: 188 meV/atom

The following is a PBE calculation of a relaxed Ta4SiTe4 crystal, from the Alexandria database.

a = 11.0766 Å, b = 19.1440 Å, c = 4.8337 Å
α = 90.00°, β = 90.00°, γ = 90.00°
Positions (direct):
Ta1 0.0622 0.1150 0.0000
Ta2 0.0968 0.8934 0.5000
Ta3 0.1848 0.0561 0.5000
Ta4 0.1992 0.9642 0.0000
Ta5 0.3008 0.4642 0.0000
Ta6 0.3152 0.5561 0.5000
Ta7 0.4032 0.3934 0.5000
Ta8 0.4378 0.6150 0.0000
Ta9 0.5622 0.3850 0.0000
Ta10 0.5968 0.6066 0.5000
Ta11 0.6848 0.4439 0.5000
Ta12 0.6992 0.5358 0.0000
Ta13 0.8008 0.0358 0.0000
Ta14 0.8152 0.9439 0.5000
Ta15 0.9032 0.1066 0.5000
Ta16 0.9378 0.8850 0.0000
Si1 0.0000 0.0000 0.2500
Si2 0.0000 0.0000 0.7500
Si3 0.5000 0.5000 0.2500
Si4 0.5000 0.5000 0.7500
Te1 0.1068 0.1985 0.5000
Te2 0.1566 0.4380 0.5000
Te3 0.1665 0.8161 0.0000
Te4 0.1812 0.5968 0.0000
Te5 0.3188 0.0968 0.0000
Te6 0.3335 0.3161 0.0000
Te7 0.3434 0.9380 0.5000
Te8 0.3932 0.6985 0.5000
Te9 0.6068 0.3015 0.5000
Te10 0.6566 0.0620 0.5000
Te11 0.6665 0.6839 0.0000
Te12 0.6812 0.9032 0.0000
Te13 0.8188 0.4032 0.0000
Te14 0.8335 0.1839 0.0000
Te15 0.8434 0.5620 0.5000
Te16 0.8932 0.8015 0.5000

Computed properties:
calculated total energy: -280.42 eV for the cell shown
ρ: 8.2 Mg/m³
uncorrected formation energy: -0.523 eV per atom
calculated volume: 1025.0 Å³/cell

The following is a PBE calculation of a relaxed Zr3PbW crystal, from the Alexandria database.

a = 5.2370 Å, b = 5.2370 Å, c = 5.2370 Å
α = 90.00°, β = 90.00°, γ = 90.00°
Positions (direct):
Zr1 0.0000 0.0000 0.5000
Zr2 0.0000 0.5000 0.0000
Zr3 0.5000 0.0000 0.0000
Pb1 0.0000 0.0000 0.0000
W1 0.5000 0.5000 0.5000

Computed properties:
calculated total energy: -33.01 eV for the cell shown
ρ: 7.7 Mg/m³
calculated volume: 143.6 Å³/cell
energy of formation: 1860 meV/atom

The following is a PBE calculation of a relaxed HoFeGe2Ru crystal, from the Alexandria database.

a = 4.0878 Å, b = 4.0878 Å, c = 10.1763 Å
α = 90.00°, β = 90.00°, γ = 90.00°
Positions (direct):
Ho1 0.0000 0.0000 0.0000
Ho2 0.5000 0.5000 0.5000
Fe1 0.0000 0.5000 0.2500
Fe2 0.5000 0.0000 0.7500
Ge1 0.0000 0.0000 0.3748
Ge2 0.0000 0.0000 0.6252
Ge3 0.5000 0.5000 0.1252
Ge4 0.5000 0.5000 0.8748
Ru1 0.0000 0.5000 0.7500
Ru2 0.5000 0.0000 0.2500

Computed properties:
calculated total energy: -68.36 eV for the cell shown
ρ: 9.1 Mg/m³
calculated volume: 170.0 Å³/cell
energy of formation: -526 meV/atom

The following is a PBE calculation of a relaxed GaSeCl2 crystal, from the Alexandria database.

a = 7.3486 Å, b = 7.3486 Å, c = 7.3486 Å
α = 90.00°, β = 90.00°, γ = 90.00°
Positions (direct):
Ga1 0.0000 0.0000 0.0000
Ga2 0.0000 0.5000 0.5000
Ga3 0.5000 0.0000 0.5000
Ga4 0.5000 0.5000 0.0000
Se1 0.0000 0.0000 0.5000
Se2 0.0000 0.5000 0.0000
Se3 0.5000 0.0000 0.0000
Se4 0.5000 0.5000 0.5000
Cl1 0.2500 0.2500 0.2500
Cl2 0.2500 0.2500 0.7500
Cl3 0.2500 0.7500 0.2500
Cl4 0.2500 0.7500 0.7500
Cl5 0.7500 0.2500 0.2500
Cl6 0.7500 0.2500 0.7500
Cl7 0.7500 0.7500 0.2500
Cl8 0.7500 0.7500 0.7500

Computed properties:
calculated total energy: -38.61 eV for the cell shown
ρ: 3.7 Mg/m³
uncorrected formation energy: 0.138 eV per atom
calculated volume: 396.8 Å³/cell

The following is a PBE calculation of a relaxed Rb2Cd3Ag2 crystal, from the Alexandria database.

a = 13.1279 Å, b = 4.8755 Å, c = 8.5145 Å
α = 90.00°, β = 123.59°, γ = 90.00°
Positions (direct):
Rb1 0.1377 0.0000 0.2641
Rb2 0.3623 0.5000 0.7359
Rb3 0.6377 0.5000 0.2641
Rb4 0.8623 0.0000 0.7359
Cd1 0.0000 0.5000 0.5000
Cd2 0.1659 0.5000 0.9230
Cd3 0.3341 0.0000 0.0770
Cd4 0.5000 0.0000 0.5000
Cd5 0.6659 0.0000 0.9230
Cd6 0.8341 0.5000 0.0770
Ag1 0.1144 0.0000 0.6957
Ag2 0.3856 0.5000 0.3043
Ag3 0.6144 0.5000 0.6957
Ag4 0.8856 0.0000 0.3043

Computed properties:
calculated total energy: -21.67 eV for the cell shown
ρ: 5.3 Mg/m³
calculated volume: 454.0 Å³/cell
energy of formation: -65 meV/atom

The following is a PBE calculation of a relaxed Cs2NpZnS4 crystal, from the Alexandria database.

a = 14.8694 Å, b = 13.3071 Å, c = 7.9700 Å
α = 84.73°, β = 63.02°, γ = 32.26°
Positions (direct):
Cs1 0.0535 0.0535 0.6965
Cs2 0.3035 0.3035 0.9465
Cs3 0.6965 0.6965 0.0535
Cs4 0.9465 0.9465 0.3035
Np1 0.1250 0.1250 0.1250
Np2 0.8750 0.8750 0.8750
Zn1 0.3750 0.3750 0.3750
Zn2 0.6250 0.6250 0.6250
S1 0.0023 0.3458 0.4412
S2 0.2893 0.5588 0.6542
S3 0.3458 0.0023 0.7107
S4 0.4412 0.7107 0.0023
S5 0.5588 0.2893 0.9977
S6 0.6542 0.9977 0.2893
S7 0.7107 0.4412 0.3458
S8 0.9977 0.6542 0.5588

Computed properties:
calculated total energy: -81.53 eV for the cell shown
ρ: 3.9 Mg/m³
uncorrected formation energy: -1.042 eV per atom
calculated volume: 592.4 Å³/cell

The following is a PBE calculation of a relaxed NaAc6Co3 crystal, from the Alexandria database.

a = 13.0313 Å, b = 4.1799 Å, c = 13.0876 Å
α = 90.00°, β = 101.88°, γ = 90.00°
Positions (direct):
Na1 0.1364 0.2500 0.0277
Na2 0.8636 0.7500 0.9723
Ac1 0.0255 0.7500 0.7625
Ac2 0.1350 0.2500 0.5219
Ac3 0.2571 0.7500 0.3277
Ac4 0.3050 0.2500 0.8017
Ac5 0.4070 0.7500 0.0697
Ac6 0.4563 0.7500 0.6122
Ac7 0.5437 0.2500 0.3878
Ac8 0.5930 0.2500 0.9303
Ac9 0.6950 0.7500 0.1983
Ac10 0.7429 0.2500 0.6723
Ac11 0.8650 0.7500 0.4781
Ac12 0.9745 0.2500 0.2375
Co1 0.0453 0.7500 0.3706
Co2 0.3448 0.2500 0.4739
Co3 0.4453 0.7500 0.8526
Co4 0.5547 0.2500 0.1474
Co5 0.6552 0.7500 0.5261
Co6 0.9547 0.2500 0.6294

Computed properties:
calculated total energy: -94.40 eV for the cell shown
ρ: 7.4 Mg/m³
calculated volume: 697.6 Å³/cell
energy of formation: 9 meV/atom

> Which of these has the lowest calculated total energy?

Ta4SiTe4